Computed, not measured: a PBEsol-optimized structure of CaZr2Re at the SCAN level of DFT.

As for the density of states at the Fermi level: 12.46 states/eV per cell. The calculation puts the energy above the most stable polymorph in this dataset at 0.683 eV per formula unit.

It has space group R3m (No. 160, hexagonal axes), with a = 3.1986 Å, b = 3.1986 Å, c = 29.4577 Å, α = 90.00°, β = 90.00° and γ = 120.00°. The distinct sites, in fractional coordinates, are Ca at (0.0000, 0.0000, 0.0000), Zr at (0.0000, 0.0000, 0.2297), Zr at (0.0000, 0.0000, 0.4771) and Re at (0.0000, 0.0000, 0.7452).